1.
The following is a DFT calculation (GGA-PBEsol) of a geometry-optimized LiMgCd structure.

POSCAR file:
```
LiMgCd
1.0
-1.207 -1.636 2.757
3.007 -1.599 0.367
0.658 5.190 1.240
Mg Cd Li
1 1 1
Direct
0.669 0.669 0.338
0.990 0.990 0.979
0.341 0.341 0.683
```

Computed properties:
Crystal system = tetragonal
Space group = I4mm
Final energy = -1.82 eV/atom
Total magnetization = 0.00 μB per atom
Energy relative to the elements = -189 meV/atom


2.
The following is a DFT calculation (GGA-PBEsol) of a geometry-optimized Pb2Au structure.

POSCAR file:
```
Pb2Au
1.0
-0.720 -3.287 0.178
0.423 0.088 3.342
-13.135 4.595 -0.156
Pb Au
4 2
Direct
0.819 0.319 0.637
0.431 0.431 0.863
0.681 0.181 0.363
0.569 0.569 0.137
0.250 0.750 0.500
0.000 0.000 0.000
```

Computed properties:
Crystal system = tetragonal
Space group = I4_1/amd
Final energy = -3.97 eV/atom
Total magnetization = 0.00 μB per atom
Energy relative to the elements = 6 meV/atom


3.
The following is a DFT calculation (GGA-PBEsol) of a geometry-optimized TcPdNF2 structure.

POSCAR file:
```
TcPdNF2
1.0
-1.014 2.402 -2.595
0.164 -3.136 -2.966
-4.149 -0.933 0.757
N Tc Pd F
1 1 1 2
Direct
0.500 0.000 0.000
0.500 0.500 0.500
0.000 0.000 0.000
0.000 0.000 0.500
0.000 0.500 0.000
```

Computed properties:
Crystal system = tetragonal
Space group = P4/mmm
Final energy = -5.42 eV/atom
E_form (uncorrected) = 0.5017 eV per atom
Total magnetization = 0.90 μB per atom


4.
The following is a DFT calculation (GGA-PBEsol) of a geometry-optimized KFeN2 structure.

POSCAR file:
```
KFeN2
1.0
5.445 0.000 0.000
-2.723 4.728 0.009
0.000 3.127 4.458
K Fe N
2 2 4
Direct
0.250 0.500 0.250
0.500 0.000 0.500
0.750 0.500 0.750
0.000 0.000 0.000
0.800 0.750 0.875
0.950 0.750 0.375
0.375 0.250 0.800
0.875 0.250 0.950
```

Computed properties:
Crystal system = tetragonal
Space group = I-42d
Final energy = -6.95 eV/atom
E_form (uncorrected) = -0.1641 eV per atom
Total magnetization = 0.00 μB per atom


5.
The following is a DFT calculation (GGA-PBEsol) of a geometry-optimized KBaCa2 structure.

POSCAR file:
```
KBaCa2
1.0
5.913 0.000 0.000
0.000 5.913 0.000
-2.957 -2.957 5.708
Ba Ca K
1 2 1
Direct
0.250 0.750 0.500
0.000 0.000 0.000
0.750 0.250 0.500
0.500 0.500 0.000
```

Computed properties:
Crystal system = tetragonal
Space group = I-4m2
Final energy = -1.74 eV/atom
Total magnetization = 0.00 μB per atom
Energy relative to the elements = 143 meV/atom


6.
The following is a DFT calculation (GGA-PBEsol) of a geometry-optimized Sb2Rh structure.

POSCAR file:
```
Sb2Rh
1.0
-0.625 2.875 -1.418
-3.801 0.368 2.422
2.291 2.113 3.276
Rh Sb
1 2
Direct
0.000 0.000 0.000
0.500 0.000 0.500
0.500 0.500 0.000
```

Computed properties:
Crystal system = tetragonal
Space group = P4/mmm
Final energy = -5.76 eV/atom
E_form (uncorrected) = -0.0111 eV per atom
Total magnetization = 0.00 μB per atom


7.
The following is a DFT calculation (GGA-PBEsol) of a geometry-optimized LaSc2Cd structure.

POSCAR file:
```
LaSc2Cd
1.0
3.606 0.000 0.000
0.000 5.149 -0.267
-1.803 -2.221 5.466
Sc La Cd
2 1 1
Direct
0.994 0.994 0.987
0.234 0.733 0.467
0.759 0.259 0.518
0.514 0.514 0.027
```

Computed properties:
Crystal system = monoclinic
Space group = Cm
Final energy = -5.01 eV/atom
Total magnetization = 0.00 μB per atom
Energy relative to the elements = -76 meV/atom


8.
The following is a DFT calculation (GGA-PBEsol) of a geometry-optimized Na2BHO3 structure.

POSCAR file:
```
Na2BHO3
1.0
-0.905 -0.857 -3.258
8.019 1.396 -2.594
2.242 -9.426 1.858
Na B H O
8 4 4 12
Direct
0.750 0.430 0.104
0.250 0.570 0.896
0.250 0.171 0.947
0.250 0.070 0.604
0.250 0.671 0.553
0.750 0.329 0.447
0.750 0.829 0.053
0.750 0.930 0.396
0.750 0.366 0.742
0.750 0.866 0.758
0.250 0.634 0.258
0.250 0.134 0.242
0.750 0.606 0.734
0.750 0.106 0.766
0.250 0.894 0.234
0.250 0.394 0.266
0.250 0.493 0.335
0.750 0.372 0.881
0.750 0.507 0.665
0.250 0.628 0.119
0.750 0.229 0.669
0.750 0.007 0.835
0.250 0.771 0.331
0.750 0.872 0.619
0.250 0.271 0.169
0.250 0.128 0.381
0.250 0.993 0.165
0.750 0.729 0.831
```

Computed properties:
Crystal system = orthorhombic
Space group = Pnma
Final energy = -6.03 eV/atom
Total magnetization = 0.00 μB per atom


9.
The following is a DFT calculation (GGA-PBEsol) of a geometry-optimized Tc2Te5 structure.

POSCAR file:
```
Tc2Te5
1.0
-11.792 -0.022 -5.211
-2.015 -11.931 4.611
-5.286 5.506 11.938
Tc Te
24 60
Direct
0.133 0.029 0.452
0.867 0.471 0.952
0.367 0.529 0.548
0.633 0.971 0.048
0.867 0.971 0.548
0.133 0.529 0.048
0.633 0.471 0.452
0.367 0.029 0.952
0.941 0.047 0.387
0.059 0.453 0.887
0.559 0.547 0.613
0.441 0.953 0.113
0.059 0.953 0.613
0.941 0.547 0.113
0.441 0.453 0.387
0.559 0.047 0.887
0.008 0.866 0.449
0.992 0.634 0.949
0.492 0.366 0.551
0.508 0.134 0.051
0.992 0.134 0.551
0.008 0.366 0.051
0.508 0.634 0.449
0.492 0.866 0.949
0.202 0.847 0.516
0.798 0.653 0.016
0.298 0.347 0.484
0.702 0.153 0.984
0.798 0.153 0.484
0.202 0.347 0.984
0.702 0.653 0.516
0.298 0.847 0.016
0.082 0.943 0.287
0.918 0.557 0.787
0.418 0.443 0.713
0.582 0.057 0.213
0.918 0.057 0.713
0.082 0.443 0.213
0.582 0.557 0.287
0.418 0.943 0.787
0.815 0.884 0.383
0.185 0.616 0.883
0.685 0.384 0.617
0.315 0.116 0.117
0.185 0.116 0.617
0.815 0.384 0.117
0.315 0.616 0.383
0.685 0.884 0.883
0.935 0.788 0.610
0.065 0.712 0.110
0.565 0.288 0.390
0.435 0.212 0.890
0.065 0.212 0.390
0.935 0.288 0.890
0.435 0.712 0.610
0.565 0.788 0.110
0.322 0.076 0.380
0.678 0.424 0.880
0.178 0.576 0.620
0.822 0.924 0.120
0.678 0.924 0.620
0.322 0.576 0.120
0.822 0.424 0.380
0.178 0.076 0.880
0.500 0.000 0.500
0.500 0.500 0.000
0.000 0.500 0.500
0.000 0.000 0.000
0.542 0.822 0.373
0.458 0.678 0.873
0.958 0.322 0.627
0.042 0.178 0.127
0.458 0.178 0.627
0.542 0.322 0.127
0.042 0.678 0.373
0.958 0.822 0.873
0.358 0.887 0.276
0.642 0.613 0.776
0.142 0.387 0.724
0.858 0.113 0.224
0.642 0.113 0.724
0.358 0.387 0.224
0.858 0.613 0.276
0.142 0.887 0.776
```

Computed properties:
Crystal system = orthorhombic
Space group = Pbca
Final energy = -5.99 eV/atom
E_form (uncorrected) = -0.2549 eV per atom
Total magnetization = 0.00 μB per atom


10.
The following is a DFT calculation (GGA-PBEsol) of a geometry-optimized TiRePt2W structure.

POSCAR file:
```
TiRePt2W
1.0
-0.063 -0.775 4.560
-3.167 -3.504 -0.640
3.561 -3.131 -0.483
Re W Pt Ti
1 1 2 1
Direct
0.500 0.000 0.000
0.000 0.000 0.000
0.000 0.000 0.500
0.000 0.500 0.000
0.500 0.500 0.500
```

Computed properties:
Crystal system = tetragonal
Space group = P4/mmm
Final energy = -8.37 eV/atom
Total magnetization = 0.25 μB per atom
Energy relative to the elements = 1509 meV/atom


11.
The following is a DFT calculation (GGA-PBEsol) of a geometry-optimized AsSeBr2O structure.

POSCAR file:
```
AsSeBr2O
1.0
4.176 0.000 0.000
0.000 4.785 0.000
0.000 0.000 4.785
O As Se Br
1 1 1 2
Direct
0.000 0.000 0.000
0.500 0.500 0.500
0.500 0.000 0.000
0.000 0.000 0.500
0.000 0.500 0.000
```

Computed properties:
Crystal system = tetragonal
Space group = P4/mmm
Final energy = -2.97 eV/atom
E_form (uncorrected) = 0.6188 eV per atom
Total magnetization = 0.00 μB per atom


12.
The following is a DFT calculation (GGA-PBEsol) of a geometry-optimized Mg2AlW structure.

POSCAR file:
```
Mg2AlW
1.0
3.927 0.000 0.000
0.000 3.927 0.000
0.000 0.000 4.343
Al Mg W
1 2 1
Direct
0.000 0.000 0.500
0.000 0.500 0.000
0.500 0.000 0.000
0.500 0.500 0.500
```

Computed properties:
Crystal system = tetragonal
Space group = P4/mmm
Final energy = -4.98 eV/atom
Total magnetization = 0.00 μB per atom
Energy relative to the elements = 352 meV/atom


Question: Which of these has the highest final energy?
Answer: KBaCa2


Question: total magnetization of number 7 (LaSc2Cd)?
Answer: 0.00 μB per atom


Question: Which formula does entry 12 have?
Answer: Mg2AlW